1.
Entry from the Alexandria database: a geometry-optimized MnCr2Fe structure (PBE).

a b c (Å): 3.987 2.441 4.750
angles (deg): 78.73 90.00 90.00
Element x y z (fractional)
Cr  0.000  0.998  0.998
Cr  0.000  0.502  0.502
Mn  0.500  0.750  0.750
Fe  0.500  0.250  0.250

Output
- distance to the lowest polymorph of the same formula (kJ/mol of atoms) = 1.92
- volume (Å³ per atom) = 11.33
- crystal system = monoclinic


2.
Entry from the Alexandria database: a geometry-optimized MnCr2Fe structure (PBE).

a b c (Å): 2.448 2.448 8.002
angles (deg): 90.00 90.00 108.63
Element x y z (fractional)
Cr  0.000  0.000  0.998
Cr  0.500  0.500  0.250
Mn  0.500  0.500  0.752
Fe  0.000  0.000  0.500

Output
- distance to the lowest polymorph of the same formula (kJ/mol of atoms) = 0.01
- volume (Å³ per atom) = 11.36
- crystal system = orthorhombic


3.
Entry from the Alexandria database: a geometry-optimized Mn2CrFe structure (PBE).

a b c (Å): 3.971 2.436 4.740
angles (deg): 78.53 90.00 90.00
Element x y z (fractional)
Cr  0.000  0.492  0.501
Mn  0.000  0.983  0.004
Mn  0.500  0.278  0.245
Fe  0.500  0.747  0.750

Output
- volume (Å³ per atom) = 11.23
- crystal system = monoclinic


4.
Entry from the Alexandria database: a geometry-optimized Mn2CrFe structure (PBE).

a b c (Å): 2.452 2.452 7.933
angles (deg): 90.00 90.00 108.97
Element x y z (fractional)
Cr  0.000  0.000  0.499
Fe  0.500  0.500  0.750
Mn  0.000  0.000  0.003
Mn  0.500  0.500  0.248

Output
- volume (Å³ per atom) = 11.28
- crystal system = orthorhombic


5.
Entry from the Alexandria database: a geometry-optimized MnCr4Fe structure (PBE).

a b c (Å): 4.685 4.685 4.685
angles (deg): 60.00 60.00 60.00
Element x y z (fractional)
Mn  0.000  0.000  0.000
Cr  0.874  0.375  0.375
Cr  0.375  0.375  0.874
Cr  0.375  0.874  0.375
Cr  0.375  0.375  0.375
Fe  0.750  0.750  0.750

Output
- distance to the lowest polymorph of the same formula (kJ/mol of atoms) = 0.00
- volume (Å³ per atom) = 12.12
- crystal system = cubic


6.
Entry from the Alexandria database: a geometry-optimized MnCr2Fe structure (PBE).

a b c (Å): 4.336 4.336 4.371
angles (deg): 80.78 80.78 33.45
Element x y z (fractional)
Cr  0.004  0.004  0.997
Cr  0.496  0.496  0.503
Fe  0.750  0.750  0.750
Mn  0.250  0.250  0.250

Output
- distance to the lowest polymorph of the same formula (kJ/mol of atoms) = 12.55
- volume (Å³ per atom) = 11.17
- crystal system = monoclinic


7.
Entry from the Alexandria database: a geometry-optimized MnCr2Fe structure (PBE).

a b c (Å): 3.484 3.596 3.596
angles (deg): 90.00 90.00 90.00
Element x y z (fractional)
Cr  0.000  0.000  0.000
Cr  0.000  0.500  0.500
Fe  0.500  0.500  0.000
Mn  0.500  0.000  0.500

Output
- distance to the lowest polymorph of the same formula (kJ/mol of atoms) = 9.05
- volume (Å³ per atom) = 11.26
- crystal system = tetragonal


8.
Entry from the Alexandria database: a geometry-optimized MnCr2Fe structure (PBE).

a b c (Å): 2.447 3.618 5.083
angles (deg): 90.00 90.00 90.00
Element x y z (fractional)
Cr  0.000  0.000  0.994
Cr  0.500  0.500  0.258
Fe  0.000  0.000  0.504
Mn  0.500  0.500  0.744

Output
- distance to the lowest polymorph of the same formula (kJ/mol of atoms) = 12.20
- volume (Å³ per atom) = 11.25
- crystal system = orthorhombic


9.
Entry from the Alexandria database: a geometry-optimized MnCr2Fe structure (PBE).

a b c (Å): 4.364 4.364 4.317
angles (deg): 80.99 80.99 33.22
Element x y z (fractional)
Cr  0.996  0.996  0.009
Cr  0.759  0.759  0.738
Fe  0.504  0.504  0.496
Mn  0.240  0.240  0.257

Output
- distance to the lowest polymorph of the same formula (kJ/mol of atoms) = 10.29
- volume (Å³ per atom) = 11.11
- crystal system = monoclinic


10.
Entry from the Alexandria database: a geometry-optimized MnCr2Fe structure (PBE).

a b c (Å): 2.441 2.441 7.995
angles (deg): 90.00 90.00 108.35
Element x y z (fractional)
Cr  0.000  0.000  0.998
Cr  0.000  0.000  0.502
Mn  0.500  0.500  0.750
Fe  0.500  0.500  0.250

Output
- distance to the lowest polymorph of the same formula (kJ/mol of atoms) = 1.77
- volume (Å³ per atom) = 11.30
- crystal system = orthorhombic


11.
Entry from the Alexandria database: a geometry-optimized MnCr2Fe structure (PBE).

a b c (Å): 8.395 8.395 8.395
angles (deg): 17.15 17.15 17.15
Element x y z (fractional)
Cr  0.999  0.999  0.999
Cr  0.501  0.501  0.501
Fe  0.250  0.250  0.250
Mn  0.750  0.750  0.750

Output
- distance to the lowest polymorph of the same formula (kJ/mol of atoms) = 14.58
- volume (Å³ per atom) = 11.22
- crystal system = trigonal


12.
Entry from the Alexandria database: a geometry-optimized Mn2CrFe5 structure (PBE).

a b c (Å): 4.913 4.913 4.913
angles (deg): 109.11 109.11 110.19
Element x y z (fractional)
Mn  0.278  0.778  0.500
Mn  0.778  0.278  0.500
Cr  0.778  0.778  0.000
Fe  0.278  0.278  0.500
Fe  0.278  0.778  0.000
Fe  0.778  0.278  0.000
Fe  0.778  0.778  0.500
Fe  0.278  0.278  0.000

Output
- volume (Å³ per atom) = 11.41
- crystal system = tetragonal


13.
Entry from the Alexandria database: a geometry-optimized Mn2CrFe structure (PBE).

a b c (Å): 3.229 3.229 9.196
angles (deg): 79.89 79.89 90.00
Element x y z (fractional)
Cr  0.500  0.500  0.000
Cr  0.250  0.750  0.500
Mn  0.630  0.125  0.250
Mn  0.120  0.625  0.250
Mn  0.375  0.370  0.750
Mn  0.875  0.880  0.750
Fe  0.000  0.000  0.000
Fe  0.750  0.250  0.500

Output
- volume (Å³ per atom) = 11.61
- crystal system = tetragonal


14.
Entry from the Alexandria database: a geometry-optimized MnCrFe4 structure (PBE).

a b c (Å): 6.452 6.452 6.452
angles (deg): 98.22 98.22 135.56
Element x y z (fractional)
Mn  0.253  0.253  0.000
Mn  0.003  0.503  0.500
Cr  0.749  0.749  0.000
Cr  0.499  0.999  0.500
Fe  0.250  0.993  0.744
Fe  0.749  0.490  0.741
Fe  0.743  0.500  0.244
Fe  0.240  0.999  0.241
Fe  0.256  0.500  0.756
Fe  0.759  0.999  0.759
Fe  0.749  0.009  0.259
Fe  0.250  0.506  0.256

Output
- distance to the lowest polymorph of the same formula (kJ/mol of atoms) = 83.45
- volume (Å³ per atom) = 14.50
- crystal system = tetragonal


15.
Entry from the Alexandria database: a geometry-optimized MnCr2Fe structure (PBE).

a b c (Å): 4.406 4.406 4.406
angles (deg): 133.04 133.04 68.58
Element x y z (fractional)
Cr  0.000  0.000  0.000
Cr  0.250  0.750  0.500
Fe  0.500  0.500  0.000
Mn  0.750  0.250  0.500

Output
- distance to the lowest polymorph of the same formula (kJ/mol of atoms) = 11.51
- volume (Å³ per atom) = 11.22
- crystal system = tetragonal


16.
Entry from the Alexandria database: a geometry-optimized Mn2Cr2Fe structure (PBE).

a b c (Å): 6.681 6.681 2.691
angles (deg): 90.00 90.00 90.00
Element x y z (fractional)
Cr  0.159  0.659  0.500
Cr  0.659  0.841  0.500
Cr  0.841  0.341  0.500
Cr  0.341  0.159  0.500
Mn  0.357  0.857  0.000
Mn  0.857  0.643  0.000
Mn  0.643  0.143  0.000
Mn  0.143  0.357  0.000
Fe  0.000  0.000  0.000
Fe  0.500  0.500  0.000

Output
- volume (Å³ per atom) = 12.01
- crystal system = tetragonal


17.
Entry from the Alexandria database: a geometry-optimized Mn2CrFe structure (PBE).

a b c (Å): 2.924 3.950 3.895
angles (deg): 90.00 90.00 90.00
Element x y z (fractional)
Cr  0.500  0.000  0.500
Mn  0.000  0.000  0.000
Mn  0.500  0.500  0.000
Fe  0.000  0.500  0.500

Output
- volume (Å³ per atom) = 11.25
- crystal system = orthorhombic


18.
Entry from the Alexandria database: a geometry-optimized Mn2CrFe structure (PBE).

a b c (Å): 3.996 2.441 4.673
angles (deg): 81.47 90.00 90.00
Element x y z (fractional)
Cr  0.500  0.250  0.250
Mn  0.000  0.019  0.999
Mn  0.000  0.481  0.501
Fe  0.500  0.750  0.750

Output
- volume (Å³ per atom) = 11.27
- crystal system = monoclinic


19.
Entry from the Alexandria database: a geometry-optimized MnCr2Fe structure (PBE).

a b c (Å): 8.523 8.523 8.523
angles (deg): 16.75 16.75 16.75
Element x y z (fractional)
Cr  0.002  0.002  0.002
Cr  0.247  0.247  0.247
Fe  0.498  0.498  0.498
Mn  0.753  0.753  0.753

Output
- distance to the lowest polymorph of the same formula (kJ/mol of atoms) = 15.54
- volume (Å³ per atom) = 11.22
- crystal system = trigonal


20.
Entry from the Alexandria database: a geometry-optimized Mn2CrFe structure (PBE).

a b c (Å): 4.335 4.335 2.517
angles (deg): 90.00 90.00 108.34
Element x y z (fractional)
Cr  0.500  0.000  0.500
Fe  0.000  0.500  0.500
Mn  0.000  0.000  0.000
Mn  0.500  0.500  0.000

Output
- volume (Å³ per atom) = 11.22
- crystal system = orthorhombic


21.
Entry from the Alexandria database: a geometry-optimized Mn2CrFe structure (PBE).

a b c (Å): 2.485 2.485 8.264
angles (deg): 81.35 81.35 60.00
Element x y z (fractional)
Mn  0.086  0.086  0.741
Mn  0.246  0.246  0.261
Cr  0.667  0.667  0.000
Fe  0.500  0.500  0.499

Output
- volume (Å³ per atom) = 10.88
- crystal system = trigonal


22.
Entry from the Alexandria database: a geometry-optimized Mn2CrFe structure (PBE).

a b c (Å): 4.683 4.683 4.683
angles (deg): 143.96 130.28 62.93
Element x y z (fractional)
Cr  0.500  0.500  0.000
Mn  0.001  0.001  0.000
Mn  0.748  0.248  0.500
Fe  0.251  0.751  0.500

Output
- volume (Å³ per atom) = 11.39
- crystal system = orthorhombic


23.
Entry from the Alexandria database: a geometry-optimized MnCr2Fe structure (PBE).

a b c (Å): 4.005 4.005 4.005
angles (deg): 60.00 60.00 60.00
Element x y z (fractional)
Cr  0.000  0.000  0.000
Cr  0.250  0.250  0.250
Mn  0.750  0.750  0.750
Fe  0.500  0.500  0.500

Output
- distance to the lowest polymorph of the same formula (kJ/mol of atoms) = 1.33
- volume (Å³ per atom) = 11.36
- crystal system = cubic


24.
Entry from the Alexandria database: a geometry-optimized Mn2CrFe structure (PBE).

a b c (Å): 8.376 8.376 8.376
angles (deg): 17.03 17.03 17.03
Element x y z (fractional)
Cr  0.500  0.500  0.500
Fe  0.748  0.748  0.748
Mn  0.999  0.999  0.999
Mn  0.252  0.252  0.252

Output
- volume (Å³ per atom) = 10.99
- crystal system = trigonal


25.
Entry from the Alexandria database: a geometry-optimized Mn2CrFe structure (PBE).

a b c (Å): 2.487 3.540 5.071
angles (deg): 90.00 90.00 90.00
Element x y z (fractional)
Cr  0.500  0.500  0.250
Fe  0.500  0.500  0.750
Mn  0.000  0.000  0.995
Mn  0.000  0.000  0.505

Output
- volume (Å³ per atom) = 11.16
- crystal system = orthorhombic


26.
Entry from the Alexandria database: a geometry-optimized MnCr2Fe structure (PBE).

a b c (Å): 3.999 3.999 3.999
angles (deg): 60.00 60.00 60.00
Element x y z (fractional)
Cr  0.250  0.250  0.250
Cr  0.750  0.750  0.750
Mn  0.000  0.000  0.000
Fe  0.500  0.500  0.500

Output
- distance to the lowest polymorph of the same formula (kJ/mol of atoms) = 5.67
- volume (Å³ per atom) = 11.30
- crystal system = cubic


27.
Entry from the Alexandria database: a geometry-optimized Mn6CrFe2 structure (PBE).

a b c (Å): 3.984 3.984 7.307
angles (deg): 90.02 90.00 119.99
Element x y z (fractional)
Mn  0.000  0.000  0.827
Mn  0.333  0.667  0.273
Mn  0.667  0.333  0.727
Mn  0.333  0.667  0.605
Mn  0.667  0.333  0.395
Mn  0.000  0.000  0.173
Cr  0.000  0.000  0.500
Fe  0.333  0.667  0.944
Fe  0.667  0.333  0.056

Output
- volume (Å³ per atom) = 11.16
- crystal system = trigonal


28.
Entry from the Alexandria database: a geometry-optimized Mn2CrFe structure (PBE).

a b c (Å): 2.515 3.512 5.050
angles (deg): 90.00 90.00 90.00
Element x y z (fractional)
Cr  0.000  0.000  0.503
Fe  0.500  0.500  0.750
Mn  0.000  0.000  0.001
Mn  0.500  0.500  0.245

Output
- volume (Å³ per atom) = 11.15
- crystal system = orthorhombic


29.
Entry from the Alexandria database: a geometry-optimized Mn2CrFe structure (PBE).

a b c (Å): 4.635 4.719 2.441
angles (deg): 78.80 82.47 117.20
Element x y z (fractional)
Cr  0.000  0.500  0.500
Mn  0.000  0.000  0.000
Mn  0.500  0.000  0.500
Fe  0.500  0.500  0.000

Output
- volume (Å³ per atom) = 11.27
- crystal system = monoclinic


no.,energy of formation (eV/atom),density of states at the Fermi level (states/eV per cell)
1,0.08,4.7
2,0.06,4.8
3,0.10,5.0
4,0.09,5.9
5,0.24,8.7
6,0.19,4.6
7,0.15,5.6
8,0.19,4.3
9,0.17,4.6
10,0.08,5.4
11,0.21,6.4
12,0.09,7.3
13,0.70,14.9
14,1.00,17.6
15,0.18,5.3
16,0.25,8.8
17,0.09,3.4
18,0.09,4.8
19,0.22,5.2
20,0.12,6.0
21,0.13,5.3
22,0.09,5.7
23,0.07,4.5
24,0.14,4.7
25,0.13,5.5
26,0.12,5.2
27,0.11,14.4
28,0.10,4.6
29,0.10,5.2